Entry 1:
Here is a relaxed BeSiHg crystal from the Alexandria database. Energies are from PBE.

Properties
E_tot in eV per atom: -2.609
Formation energy (no corrections) in eV per atom: 0.542
DOS(E_F) in states/eV/f.u.: 0.74
Crystal system: orthorhombic

Cell lengths 6.452, 6.356, 2.865 Å; angles 78.95, 75.21, 25.84 degrees
Fractional coordinates of all 3 atoms:
Be 0.988 0.988 0.012
Hg 0.647 0.647 0.353
Si 0.366 0.366 0.634

---

Entry 2:
Here is a relaxed Tb2Y3ThTe6 crystal from the Alexandria database. Energies are from PBE.

Properties
E_tot in eV per atom: -5.830
Formation energy (no corrections) in eV per atom: -1.253
DOS(E_F) in states/eV/f.u.: 7.97
Crystal system: monoclinic

Cell lengths 4.351, 8.843, 9.775 Å; angles 101.82, 102.86, 90.00 degrees
Fractional coordinates of all 12 atoms:
Tb 0.163 0.330 0.326
Tb 0.837 0.670 0.674
Te 0.672 0.088 0.345
Te 0.999 0.740 0.998
Te 0.001 0.260 0.002
Te 0.668 0.586 0.337
Te 0.332 0.414 0.663
Te 0.328 0.912 0.655
Y 0.500 0.500 0.000
Y 0.160 0.836 0.320
Y 0.840 0.164 0.680
Th 0.500 0.000 0.000

---

Entry 3:
Here is a relaxed MnPdN2 crystal from the Alexandria database. Energies are from PBE.

Properties
E_tot in eV per atom: -6.833
Formation energy (no corrections) in eV per atom: 0.920
DOS(E_F) in states/eV/f.u.: 4.81
ΔE to the lowest computed polymorph in eV/f.u.: 3.06
Crystal system: trigonal

Cell lengths 6.217, 6.217, 6.217 Å; angles 27.75, 27.75, 27.75 degrees
Fractional coordinates of all 4 atoms:
N 0.098 0.098 0.098
N 0.902 0.902 0.902
Mn 0.000 0.000 0.000
Pd 0.500 0.500 0.500

---

Entry 4:
Here is a relaxed Mn4CdW crystal from the Alexandria database. Energies are from PBE.

Properties
E_tot in eV per atom: -8.216
DOS(E_F) in states/eV/f.u.: 5.38
Formation energy in eV/f.u.: 1.3
Crystal system: cubic

Cell lengths 4.807, 4.807, 4.807 Å; angles 60.00, 60.00, 60.00 degrees
Each line ends with the local moment (μB).
Fractional coordinates of all 6 atoms:
Cd 0.000 0.000 0.000  -0.02
Mn 0.374 0.877 0.374  1.02
Mn 0.374 0.374 0.877  1.02
Mn 0.877 0.374 0.374  1.02
Mn 0.374 0.374 0.374  1.02
W 0.750 0.750 0.750  -0.40

---

Entry 5:
Here is a relaxed RbPr2InO5 crystal from the Alexandria database. Energies are from PBE.

Properties
E_tot in eV per atom: -6.630
Formation energy (no corrections) in eV per atom: -2.401
DOS(E_F) in states/eV/f.u.: 0.00
Crystal system: tetragonal

Cell lengths 6.970, 6.970, 7.877 Å; angles 116.26, 116.26, 90.00 degrees
Fractional coordinates of all 18 atoms:
O 0.736 0.236 0.752
O 0.236 0.016 0.752
O 0.516 0.736 0.752
O 0.016 0.516 0.752
O 0.264 0.764 0.248
O 0.984 0.484 0.248
O 0.764 0.984 0.248
O 0.484 0.264 0.248
O 0.000 0.000 0.000
O 0.500 0.500 0.000
Rb 0.750 0.750 0.500
Rb 0.250 0.250 0.500
Pr 0.680 0.180 0.000
Pr 0.180 0.320 0.000
Pr 0.820 0.680 0.000
Pr 0.320 0.820 0.000
In 0.250 0.750 0.500
In 0.750 0.250 0.500

---

Entry 6:
Here is a relaxed YTl2PbSe4 crystal from the Alexandria database. Energies are from PBE.

Properties
E_tot in eV per atom: -4.483
Formation energy (no corrections) in eV per atom: -0.877
DOS(E_F) in states/eV/f.u.: 4.96
Crystal system: monoclinic

Cell lengths 4.244, 7.776, 7.587 Å; angles 71.03, 90.00, 90.00 degrees
Fractional coordinates of all 8 atoms:
Tl 0.500 0.000 0.500
Tl 0.000 0.000 0.000
Pb 0.500 0.500 0.000
Se 0.000 0.271 0.263
Se 0.500 0.716 0.277
Se 0.000 0.729 0.737
Se 0.500 0.284 0.723
Y 0.000 0.500 0.500